No. 1
A geometry-optimized CsTcRh3 structure, computed with PBE.

Cell and atoms, written as POSCAR:
```
CsTcRh3
1.0
-0.4560 -1.5384 4.6250
4.8729 -0.0388 0.4675
-0.1103 4.6472 1.5350
Rh Cs Tc
3 1 1
Cartesian
-0.0551 2.3236 0.7675
-0.2280 -0.7692 2.3125
2.4364 -0.0194 0.2337
0.0000 0.0000 0.0000
2.1533 1.5350 3.3137
```

Summary:
- ΔH_f (0 K): 2.4982 eV/atom
- Final energy: -4.16 eV/atom
- SG: No. 221

=====

No. 2
A geometry-optimized MgZnOsO6 structure, computed with PBE.

Cell and atoms, written as POSCAR:
```
MgZnOsO6
1.0
5.1267 0.0000 0.0000
-2.5634 4.4399 0.0000
0.0000 0.0000 8.9852
Os O Zn Mg
2 12 2 2
Cartesian
0.0000 2.9599 2.2463
2.5634 1.4800 6.7389
1.7974 2.8261 5.6721
4.1122 1.4703 5.6721
3.3462 0.1435 7.8058
1.7806 0.1435 5.6721
-0.7660 1.6138 1.1794
1.0146 1.4703 7.8058
1.5488 2.9696 1.1794
0.7828 4.2964 3.3132
-1.5488 2.9696 3.3132
3.3294 2.8261 7.8058
0.7660 1.6138 3.3132
-0.7828 4.2964 1.1794
2.5634 1.4800 2.2463
0.0000 2.9599 6.7389
0.0000 0.0000 0.0000
0.0000 0.0000 4.4926
```

Summary:
- Energy relative to the elements, uncorrected: -11.657 eV per formula unit
- Final energy: -6.17 eV/atom
- SG: No. 163

=====

No. 3
A geometry-optimized Tb4Sm11Dy9 structure, computed with PBE.

Cell and atoms, written as POSCAR:
```
Tb4Sm11Dy9
1.0
3.6633 0.0000 0.0000
0.0000 14.0812 -6.0032
0.0000 0.0134 15.3075
Sm Dy Tb
11 9 4
Cartesian
0.0000 2.2655 11.8959
0.0000 8.3742 11.0708
0.0000 5.7204 -1.7666
0.0000 9.9802 6.5882
0.0000 8.9064 1.8358
0.0000 11.8291 -2.5916
0.0000 0.0000 0.0000
0.0000 4.1144 2.7160
0.0000 0.6236 5.9544
0.0000 13.4710 3.3498
0.0000 5.1882 7.4684
1.8317 2.3267 8.6795
1.8317 0.9540 2.8608
1.8317 7.0473 4.6521
1.8317 11.7680 0.6248
1.8317 8.8955 -1.2714
1.8317 13.1406 6.4434
1.8317 11.0890 9.5513
1.8317 3.0056 -0.2470
1.8317 5.1991 10.5757
1.8317 3.4188 5.3585
1.8317 6.2709 1.0379
1.8317 7.8237 8.2663
1.8317 10.6758 3.9457
```

Summary:
- ΔH_f (0 K): 0.0557 eV/atom
- Final energy: -4.60 eV/atom
- SG: No. 65